[1]
10
Lattice="8.345 0.000 0.000 0.000 8.345 0.000 0.000 0.000 4.378" Properties=species:S:1:pos:R:3 comment="Hg2Bi2Br, relaxed, DFT PBE-GGA" dos_ef_per_ev_cell=3.12 raw_formation_energy_ev_per_atom=-0.01 de_polymorph_mev_per_atom=0 dft_energy_ev_per_atom=-2.015 pbc="T T T"
Hg 1.437 2.735 0.000
Hg 2.735 6.908 0.000
Hg 5.610 1.437 0.000
Hg 6.908 5.610 0.000
Bi 1.095 5.267 2.189
Bi 3.078 1.095 2.189
Bi 5.267 7.251 2.189
Bi 7.251 3.078 2.189
Br 0.000 0.000 2.189
Br 4.173 4.173 2.189

[2]
11
Lattice="1.850 1.068 32.961 -1.850 1.068 32.961 0.000 -2.136 32.961" Properties=species:S:1:pos:R:3 comment="Ac2Tb3Pm6, relaxed, DFT PBE-GGA" dos_ef_per_ev_cell=15.06 delta_e_f_ev_per_atom=0.0388 dft_energy_ev_per_atom=-4.562 pbc="T T T"
Ac 0.000 0.000 4.626
Ac 0.000 0.000 94.258
Tb 0.000 0.000 22.287
Tb 0.000 0.000 49.442
Tb 0.000 0.000 76.596
Pm 0.000 0.000 13.582
Pm 0.000 0.000 31.485
Pm 0.000 0.000 40.737
Pm 0.000 0.000 58.146
Pm 0.000 0.000 67.398
Pm 0.000 0.000 85.301

[3]
8
Lattice="3.095 0.000 0.000 0.000 4.473 0.000 0.000 0.000 9.251" Properties=species:S:1:pos:R:3 comment="MgMo2Ru, relaxed, DFT PBE-GGA" dos_ef_per_ev_cell=9.13 delta_e_f_ev_per_atom=0.2903 dft_energy_ev_per_atom=-7.843 pbc="T T T"
Mg 0.000 0.000 0.000
Mg 1.548 2.237 0.000
Mo 0.000 2.237 2.444
Mo 0.000 2.237 6.808
Mo 1.548 0.000 2.444
Mo 1.548 0.000 6.808
Ru 0.000 0.000 4.626
Ru 1.548 2.237 4.626

[4]
4
Lattice="3.001 0.000 0.000 0.000 3.001 0.000 0.000 0.000 8.398" Properties=species:S:1:pos:R:3 comment="CdSbRu2, relaxed, DFT PBE-GGA" dos_ef_per_ev_cell=5.00 raw_formation_energy_ev_per_atom=0.22 dft_energy_ev_per_atom=-5.679 pbc="T T T"
Cd 0.000 0.000 0.000
Sb 1.501 1.501 5.431
Ru 0.000 0.000 3.500
Ru 1.501 1.501 1.951